# 1
RbPb2IF4 | GGA-PBE | relaxed

Values from the calculation:
formation energy from raw total energies: -2165 meV/atom

Structure (CIF):
```
data_RbPb2IF4
_chemical_formula_sum 'Rb1 Pb2 I1 F4'
_symmetry_space_group_name_H-M 'P 4/m m m'
_symmetry_Int_Tables_number 123
_symmetry_space_group_name_Hall '-P 4 2'
_cell_length_a 4.235
_cell_length_b 4.235
_cell_length_c 10.606
_cell_angle_alpha 90.00
_cell_angle_beta 90.00
_cell_angle_gamma 90.00
loop_
_atom_site_label
_atom_site_type_symbol
_atom_site_fract_x
_atom_site_fract_y
_atom_site_fract_z
Rb1 Rb 0.000 0.000 0.000
Pb1 Pb 0.500 0.500 0.291
I1 I 0.000 0.000 0.500
F1 F 0.000 0.500 0.183
```

# 2
Na2AlInF6 | GGA-PBE | relaxed

Values from the calculation:
E above lowest polymorph: 0.0000 eV/atom
formation energy from raw total energies: -2871 meV/atom

Structure (CIF):
```
data_Na2AlInF6
_chemical_formula_sum 'Na6 Al3 In3 F18'
_symmetry_space_group_name_H-M 'R 3'
_symmetry_Int_Tables_number 146
_symmetry_space_group_name_Hall 'R 3'
_cell_length_a 5.7229
_cell_length_b 5.7229
_cell_length_c 15.9941
_cell_angle_alpha 90.00
_cell_angle_beta 90.00
_cell_angle_gamma 120.00
loop_
_atom_site_label
_atom_site_type_symbol
_atom_site_fract_x
_atom_site_fract_y
_atom_site_fract_z
Na1 Na 0.0000 0.0000 0.0000
Na2 Na 0.0000 0.0000 0.4690
Al1 Al 0.0000 0.0000 0.7965
In1 In 0.0000 0.0000 0.2594
F1 F 0.0237 0.2814 0.7366
F2 F 0.0986 0.7066 0.5356
```

# 3
Ba2MnBe | GGA-PBE | relaxed

Values from the calculation:
ΔE_f: 473 meV per atom

Structure (CIF):
```
data_Ba2MnBe
_chemical_formula_sum 'Ba4 Mn2 Be2'
_symmetry_space_group_name_H-M 'A m m 2'
_symmetry_Int_Tables_number 38
_cell_length_a 4.331
_cell_length_b 4.833
_cell_length_c 12.837
_cell_angle_alpha 90.00
_cell_angle_beta 90.00
_cell_angle_gamma 90.00
loop_
_symmetry_equiv_pos_as_xyz
'x,y,z'
'-x,-y,z'
'-x,y,z'
'x,-y,z'
'x,y+1/2,z+1/2'
'-x,-y+1/2,z+1/2'
'-x,y+1/2,z+1/2'
'x,-y+1/2,z+1/2'
loop_
_atom_site_label
_atom_site_type_symbol
_atom_site_fract_x
_atom_site_fract_y
_atom_site_fract_z
Ba1 Ba 0.000 0.000 0.000
Ba2 Ba 0.500 0.000 0.279
Mn1 Mn 0.500 0.000 0.606
Be1 Be 0.000 0.000 0.680
```

# 4
NaTcNi | GGA-PBE | relaxed

Values from the calculation:
E above lowest polymorph: 0.2169 eV/atom
ΔE_f: 458 meV per atom

Structure (CIF):
```
data_NaTcNi
_chemical_formula_sum 'Na2 Tc2 Ni2'
_symmetry_space_group_name_H-M 'I 4 m m'
_symmetry_Int_Tables_number 107
_symmetry_space_group_name_Hall 'I 4 -2'
_cell_length_a 2.688
_cell_length_b 2.688
_cell_length_c 13.310
_cell_angle_alpha 90.00
_cell_angle_beta 90.00
_cell_angle_gamma 90.00
loop_
_atom_site_label
_atom_site_type_symbol
_atom_site_fract_x
_atom_site_fract_y
_atom_site_fract_z
Na1 Na 0.000 0.000 0.000
Tc1 Tc 0.000 0.000 0.297
Ni1 Ni 0.000 0.000 0.677
```

# 5
Ac2HgOsO8 | GGA-PBE | relaxed

Values from the calculation:
formation energy from raw total energies: -1893 meV/atom

Structure (CIF):
```
data_Ac2HgOsO8
_chemical_formula_sum 'Ac2 Hg1 Os1 O8'
_symmetry_space_group_name_H-M 'P -1'
_symmetry_Int_Tables_number 2
_cell_length_a 4.954
_cell_length_b 4.963
_cell_length_c 8.098
_cell_angle_alpha 93.52
_cell_angle_beta 93.52
_cell_angle_gamma 94.97
loop_
_symmetry_equiv_pos_as_xyz
'x,y,z'
'-x,-y,-z'
loop_
_atom_site_label
_atom_site_type_symbol
_atom_site_fract_x
_atom_site_fract_y
_atom_site_fract_z
Ac1 Ac 0.053 0.052 0.253
Hg1 Hg 0.500 0.500 0.000
Os1 Os 0.500 0.500 0.500
O1 O 0.200 0.200 0.982
O2 O 0.232 0.234 0.547
O3 O 0.258 0.613 0.335
O4 O 0.387 0.743 0.664
```

# 6
As2WCl | GGA-PBE | relaxed

Values from the calculation:
E above lowest polymorph: 0.6878 eV/atom
formation energy from raw total energies: 666 meV/atom

Structure (CIF):
```
data_As2WCl
_chemical_formula_sum 'As8 W4 Cl4'
_symmetry_space_group_name_H-M 'F -4 3 m'
_symmetry_Int_Tables_number 216
_symmetry_space_group_name_Hall 'F -4 2 3'
_cell_length_a 6.434
_cell_length_b 6.434
_cell_length_c 6.434
_cell_angle_alpha 90.00
_cell_angle_beta 90.00
_cell_angle_gamma 90.00
loop_
_atom_site_label
_atom_site_type_symbol
_atom_site_fract_x
_atom_site_fract_y
_atom_site_fract_z
As1 As 0.000 0.000 0.000
As2 As 0.250 0.250 0.250
W1 W 0.000 0.000 0.500
Cl1 Cl 0.250 0.250 0.750
```

# 7
NaSi3Pd3 | GGA-PBE | relaxed

Values from the calculation:
formation energy from raw total energies: -185 meV/atom

Structure (CIF):
```
data_NaSi3Pd3
_chemical_formula_sum 'Na2 Si6 Pd6'
_symmetry_space_group_name_H-M 'P m -3 n'
_symmetry_Int_Tables_number 223
_symmetry_space_group_name_Hall '-P 4n 2 3'
_cell_length_a 6.690
_cell_length_b 6.690
_cell_length_c 6.690
_cell_angle_alpha 90.00
_cell_angle_beta 90.00
_cell_angle_gamma 90.00
loop_
_atom_site_label
_atom_site_type_symbol
_atom_site_fract_x
_atom_site_fract_y
_atom_site_fract_z
Na1 Na 0.000 0.000 0.000
Si1 Si 0.000 0.250 0.500
Pd1 Pd 0.000 0.500 0.250
```

# 8
Ho4Ag3Pt | GGA-PBE | relaxed

Values from the calculation:
ΔE_f: -573 meV per atom

Structure (CIF):
```
data_Ho4Ag3Pt
_chemical_formula_sum 'Ho4 Ag3 Pt1'
_symmetry_space_group_name_H-M 'P 4/m m m'
_symmetry_Int_Tables_number 123
_symmetry_space_group_name_Hall '-P 4 2'
_cell_length_a 3.575
_cell_length_b 3.575
_cell_length_c 14.385
_cell_angle_alpha 90.00
_cell_angle_beta 90.00
_cell_angle_gamma 90.00
loop_
_atom_site_label
_atom_site_type_symbol
_atom_site_fract_x
_atom_site_fract_y
_atom_site_fract_z
Ho1 Ho 0.000 0.000 0.115
Ho2 Ho 0.000 0.000 0.372
Ag1 Ag 0.500 0.500 0.246
Ag2 Ag 0.500 0.500 0.500
Pt1 Pt 0.500 0.500 0.000
```